[1]
{"formula": "Tm6Tl5", "functional": "PBE", "state": "optimized geometry", "ef_ev_per_atom": -0.148, "spacegroup": "C2/m", "lattice_angstrom": [[4.243, -5.786, 0.000], [4.243, 5.786, 0.000], [-1.630, 0.000, 6.383]], "species": ["Tm", "Tm", "Tm", "Tm", "Tm", "Tm", "Tl", "Tl", "Tl", "Tl", "Tl"], "frac_coords": [[0.049, 0.346, 0.692], [0.180, 0.180, 0.199], [0.346, 0.049, 0.692], [0.654, 0.951, 0.308], [0.820, 0.820, 0.801], [0.951, 0.654, 0.308], [0.228, 0.772, 0.000], [0.369, 0.631, 0.500], [0.500, 0.500, 0.000], [0.631, 0.369, 0.500], [0.772, 0.228, 0.000]]}

=====

[2]
{"formula": "Tm3Tl", "functional": "PBE", "state": "optimized geometry", "ef_ev_per_atom": -0.148, "spacegroup": "Imm2", "lattice_angstrom": [[3.468, 0.000, 0.000], [0.000, 11.006, 0.000], [0.000, 0.000, 5.909]], "species": ["Tm", "Tm", "Tm", "Tm", "Tm", "Tm", "Tl", "Tl"], "frac_coords": [[0.000, 0.000, 0.000], [0.000, 0.231, 0.630], [0.000, 0.769, 0.630], [0.500, 0.269, 0.130], [0.500, 0.500, 0.500], [0.500, 0.731, 0.130], [0.000, 0.500, 0.963], [0.500, 0.000, 0.463]]}